CeReC: relaxed, GGA-PBE.

```
CeReC
1.0
2.922 0.000 0.000
0.000 2.922 0.000
-1.461 -1.461 5.185
Re C Ce
1 1 1
Direct
0.282 0.282 0.563
0.711 0.711 0.421
0.008 0.008 0.015
```

Summary:
Energy of formation from the pure elements in eV per atom: 0.27
Distance to the lowest polymorph of the same formula in meV/atom: 174
Magnetic moment in μB/cell: 0.00
Total energy in Ha/atom: -0.3284